Record 1
Ti4Mn5V3: single point on PBEsol structure, meta-GGA SCAN.

Unit cell a=7.776 b=4.798 c=8.326 alpha=90.00 beta=90.00 gamma=90.00
Space group Amm2 (No. 38)
One atom of each set of equivalent atoms:
Ti  0.184  0.000  0.000 [4 per cell]
Ti  0.309  0.000  0.332 [4 per cell]
Mn  0.000  0.000  0.493 [2 per cell]
Mn  0.000  0.240  0.253 [4 per cell]
Mn  0.500  0.244  0.084 [4 per cell]
V  0.242  0.000  0.663 [4 per cell]
V  0.500  0.000  0.840 [2 per cell]

Final energy   -1.2884 Ry per atom
Energy of formation from the pure elements   -2.50 eV per formula unit


Record 2
SrLaMn2: single point on PBEsol structure, meta-GGA SCAN.

Unit cell a=11.488 b=3.378 c=5.363 alpha=90.00 beta=108.09 gamma=90.00
Space group Cm (No. 8)
One atom of each set of equivalent atoms:
Sr  0.000  0.000  0.000 [2 per cell]
La  0.206  0.000  0.642 [2 per cell]
Mn  0.265  0.500  0.200 [2 per cell]
Mn  0.438  0.000  0.454 [2 per cell]

Final energy   -1.8557 Ry per atom
Energy of formation from the pure elements   0.90 eV per formula unit


Record 3
BaAs3Pb: single point on PBEsol structure, meta-GGA SCAN.

Unit cell a=5.601 b=5.601 c=5.601 alpha=90.00 beta=90.00 gamma=90.00
Space group Pm-3m (No. 221)
One atom of each set of equivalent atoms:
Ba  0.000  0.000  0.000 [1 per cell]
As  0.000  0.000  0.500 [3 per cell]
Pb  0.500  0.500  0.500 [1 per cell]

Final energy   -2.5109 Ry per atom
Energy of formation from the pure elements   5.09 eV per formula unit


Record 4
YAl2Os: single point on PBEsol structure, meta-GGA SCAN.

Unit cell a=3.999 b=3.999 c=4.341 alpha=90.00 beta=90.00 gamma=90.00
Space group P4/mmm (No. 123)
One atom of each set of equivalent atoms:
Y  0.000  0.000  0.000 [1 per cell]
Al  0.000  0.500  0.500 [2 per cell]
Os  0.500  0.500  0.000 [1 per cell]

Final energy   -2.1356 Ry per atom
Energy of formation from the pure elements   -1.00 eV per formula unit


Record 5
HgHPd2Cl: single point on PBEsol structure, meta-GGA SCAN.

Unit cell a=5.131 b=5.131 c=5.077 alpha=90.00 beta=90.00 gamma=90.00
Space group P4/mmm (No. 123)
One atom of each set of equivalent atoms:
Hg  0.000  0.000  0.000 [1 per cell]
H  0.500  0.500  0.500 [1 per cell]
Pd  0.000  0.500  0.000 [2 per cell]
Cl  0.000  0.000  0.500 [1 per cell]

Final energy   -2.0458 Ry per atom


Record 6
Ho11In6Si4: single point on PBEsol structure, meta-GGA SCAN.

Unit cell a=11.263 b=11.263 c=15.850 alpha=90.00 beta=90.00 gamma=90.00
Space group I4/mmm (No. 139)
One atom of each set of equivalent atoms:
Ho  0.000  0.000  0.169 [4 per cell]
Ho  0.000  0.250  0.315 [16 per cell]
Ho  0.000  0.347  0.101 [16 per cell]
Ho  0.167  0.167  0.500 [8 per cell]
In  0.129  0.129  0.000 [8 per cell]
In  0.206  0.206  0.171 [16 per cell]
Si  0.000  0.000  0.382 [4 per cell]
Si  0.000  0.347  0.500 [8 per cell]
Si  0.000  0.500  0.250 [4 per cell]

E_form (uncorrected)   -0.707 eV/atom
Final energy   -2.7793 Ry per atom


Record 7
MgZrCd2Rh: single point on PBEsol structure, meta-GGA SCAN.

Unit cell a=4.783 b=4.783 c=4.549 alpha=90.00 beta=90.00 gamma=90.00
Space group P4/mmm (No. 123)
One atom of each set of equivalent atoms:
Mg  0.000  0.000  0.000 [1 per cell]
Zr  0.500  0.500  0.500 [1 per cell]
Cd  0.000  0.500  0.000 [2 per cell]
Rh  0.000  0.000  0.500 [1 per cell]

Final energy   -1.8728 Ry per atom
Energy of formation from the pure elements   2.87 eV per formula unit


Record 8
LaY2Tl2: single point on PBEsol structure, meta-GGA SCAN.

Unit cell a=8.970 b=8.970 c=3.620 alpha=90.00 beta=90.00 gamma=90.00
Space group P4/mbm (No. 127)
One atom of each set of equivalent atoms:
La  0.000  0.000  0.000 [2 per cell]
Y  0.142  0.358  0.500 [4 per cell]
Tl  0.160  0.660  0.000 [4 per cell]

Final energy   -3.6204 Ry per atom
Energy of formation from the pure elements   -2.78 eV per formula unit